Crystalline Ce4PaIn5 at its relaxed geometry, computed with GGA-PBE.

* final energy: -0.18302 hartree per atom
* crystal system: tetragonal
* E_form: -278 kJ/mol of formula units
* space group: P4/mmm, No. 123

Cell: 3.291 3.291 24.230 Å, 90.00 90.00 90.00°
Fractional coordinates of all 10 atoms:
Ce  0.000  0.000  0.101
Ce  0.000  0.000  0.302
Ce  0.000  0.000  0.698
Ce  0.000  0.000  0.899
Pa  0.000  0.000  0.500
In  0.500  0.500  0.000
In  0.500  0.500  0.201
In  0.500  0.500  0.402
In  0.500  0.500  0.598
In  0.500  0.500  0.799